(1)
## Yb5Bi3 (PBE)

Data for an optimized crystal structure of Yb5Bi3.

Cell lengths 8.390, 9.751, 12.542 Å; angles 90.00, 90.00, 90.00 degrees
Each line ends with the local moment (μB).
Sites, in units of the cell vectors:
Yb 0.803 0.547 0.072  -0.19
Yb 0.813 0.250 0.768  0.24
Yb 0.032 0.750 0.505  0.26
Yb 0.342 0.250 0.710  0.26
Yb 0.197 0.047 0.928  -0.19
Yb 0.532 0.250 0.995  0.26
Yb 0.842 0.750 0.790  0.26
Yb 0.313 0.750 0.732  0.24
Yb 0.303 0.453 0.428  -0.19
Yb 0.687 0.250 0.268  0.24
Yb 0.468 0.750 0.005  0.26
Yb 0.697 0.547 0.572  -0.19
Yb 0.968 0.250 0.495  0.26
Yb 0.158 0.250 0.210  0.26
Yb 0.187 0.750 0.232  0.24
Yb 0.197 0.453 0.928  -0.19
Yb 0.803 0.953 0.072  -0.19
Yb 0.697 0.953 0.572  -0.19
Yb 0.303 0.047 0.428  -0.19
Yb 0.658 0.750 0.290  0.26
Bi 0.062 0.011 0.673  0.01
Bi 0.938 0.989 0.327  0.01
Bi 0.062 0.489 0.673  0.01
Bi 0.417 0.750 0.483  0.01
Bi 0.562 0.989 0.827  0.01
Bi 0.438 0.011 0.173  0.01
Bi 0.583 0.250 0.517  0.01
Bi 0.438 0.489 0.173  0.01
Bi 0.562 0.511 0.827  0.01
Bi 0.083 0.750 0.983  0.01
Bi 0.917 0.250 0.017  0.01
Bi 0.938 0.511 0.327  0.01

The energy of formation from the pure elements is -77.3 kJ per mole of atoms. As for the calculated volume: 32.07 A^3/atom. The calculation puts the density of states at the Fermi level at 311.98 states/eV/cell.


(2)
## Ag2Te6Br (PBE)

Data for an optimized crystal structure of Ag2Te6Br.

Cell lengths 4.413, 10.422, 10.422 Å; angles 39.68, 78.00, 78.00 degrees
Sites, in units of the cell vectors:
Ag 0.167 0.329 0.329
Ag 0.833 0.671 0.671
Te 0.344 0.904 0.415
Te 0.656 0.096 0.585
Te 0.656 0.585 0.096
Te 0.500 0.304 0.696
Te 0.500 0.696 0.304
Te 0.344 0.415 0.904
Br 0.000 0.000 0.000

As for the calculated volume: 33.17 A^3/atom. The calculation puts the density of states at the Fermi level at 2.48 states/eV/cell. As for the uncorrected formation energy: 70 meV/atom.


(3)
## YFe2W (PBE)

Data for an optimized crystal structure of YFe2W.

Cell lengths 5.454, 5.454, 5.454 Å; angles 147.97, 131.05, 59.70 degrees
Each line ends with the local moment (μB).
Sites, in units of the cell vectors:
Fe 0.973 0.973 0.000  2.22
Fe 0.753 0.253 0.500  1.39
W 0.526 0.526 0.000  -0.28
Y 0.248 0.748 0.500  -0.18

Its energy above the most stable polymorph in this dataset is 0.264 eV/atom. The energy of formation from the pure elements is 41.0 kJ per mole of atoms. As for the calculated volume: 16.08 A^3/atom. The calculation puts the density of states at the Fermi level at 4.36 states/eV/cell.


(4)
## BaSr7N3 (PBE)

Data for an optimized crystal structure of BaSr7N3.

Cell lengths 7.016, 7.925, 7.925 Å; angles 120.00, 90.00, 90.00 degrees
Sites, in units of the cell vectors:
Ba 0.559 0.333 0.667
Sr 0.988 0.177 0.823
Sr 0.988 0.177 0.354
Sr 0.995 0.667 0.333
Sr 0.581 0.822 0.178
Sr 0.581 0.357 0.178
Sr 0.581 0.822 0.643
Sr 0.988 0.646 0.823
N 0.785 0.502 0.498
N 0.785 0.502 0.004
N 0.785 0.996 0.498

As for the calculated volume: 34.69 A^3/atom. The calculation puts the density of states at the Fermi level at 4.87 states/eV/cell. As for the uncorrected formation energy: -393 meV/atom.


Q: What is the calculated volume in the second record?
A: 33.17 A^3/atom


Q: Which value of calculated volume does entry 4 give?
A: 34.69 A^3/atom